[1]
The following is a GGA-PBE calculation of a geometry-optimized PaCuSb2 structure, from Alexandria.

CIF file:
```
data_PaCuSb2
_chemical_formula_sum 'Pa1 Cu1 Sb2'
_cell_length_a 4.727
_cell_length_b 4.727
_cell_length_c 4.058
_cell_angle_alpha 90.00
_cell_angle_beta 90.00
_cell_angle_gamma 90.00
_symmetry_space_group_name_H-M 'P 4/m m m'
_symmetry_Int_Tables_number 123
_symmetry_space_group_name_Hall '-P 4 2'
loop_
_atom_site_label
_atom_site_type_symbol
_atom_site_fract_x
_atom_site_fract_y
_atom_site_fract_z
Pa1 Pa 0.000 0.000 0.000
Cu1 Cu 0.500 0.500 0.000
Sb1 Sb 0.000 0.500 0.500
```

Results
- Fermi-level density of states (states/eV/f.u.) = 3.10
- magnetization (μB per cell) = 0.00
- E_tot (eV/atom) = -5.760
- E_form (uncorrected) (kJ/mol of atoms) = -29.0

=====

[2]
The following is a GGA-PBE calculation of a geometry-optimized CuWBr2 structure, from Alexandria.

CIF file:
```
data_CuWBr2
_chemical_formula_sum 'Cu3 W3 Br6'
_cell_length_a 3.1869
_cell_length_b 3.1869
_cell_length_c 29.4295
_cell_angle_alpha 90.00
_cell_angle_beta 90.00
_cell_angle_gamma 120.00
_symmetry_space_group_name_H-M 'R -3 m'
_symmetry_Int_Tables_number 166
_symmetry_space_group_name_Hall '-R 3 2"'
loop_
_atom_site_label
_atom_site_type_symbol
_atom_site_fract_x
_atom_site_fract_y
_atom_site_fract_z
Cu1 Cu 0.0000 0.0000 0.0000
W1 W 0.0000 0.0000 0.5000
Br1 Br 0.0000 0.0000 0.2306
```

Results
- Fermi-level density of states (states/eV/f.u.) = 3.54
- magnetization (μB per cell) = 0.00
- E_tot (eV/atom) = -4.445
- E_form (uncorrected) (kJ/mol of atoms) = 63.1
- energy above the lowest structure with this stoichiometry (meV per atom) = 382

=====

[3]
The following is a GGA-PBE calculation of a geometry-optimized TaTl2Sb structure, from Alexandria.

CIF file:
```
data_TaTl2Sb
_chemical_formula_sum 'Ta2 Tl4 Sb2'
_cell_length_a 3.643
_cell_length_b 5.220
_cell_length_c 10.837
_cell_angle_alpha 90.00
_cell_angle_beta 90.00
_cell_angle_gamma 90.00
_symmetry_space_group_name_H-M 'C m m 2'
_symmetry_Int_Tables_number 35
_symmetry_space_group_name_Hall 'C 2 -2'
loop_
_atom_site_label
_atom_site_type_symbol
_atom_site_fract_x
_atom_site_fract_y
_atom_site_fract_z
Ta1 Ta 0.000 0.000 0.000
Tl1 Tl 0.000 0.000 0.517
Tl2 Tl 0.000 0.500 0.779
Sb1 Sb 0.000 0.500 0.201
```

Results
- Fermi-level density of states (states/eV/f.u.) = 1.26
- magnetization (μB per cell) = 0.00
- E_tot (eV/atom) = -4.918
- E_form (uncorrected) (kJ/mol of atoms) = 25.0
- energy above the lowest structure with this stoichiometry (meV per atom) = 0

=====

[4]
The following is a GGA-PBE calculation of a geometry-optimized KNa2IO structure, from Alexandria.

CIF file:
```
data_KNa2IO
_chemical_formula_sum 'K4 Na8 I4 O4'
_cell_length_a 4.238
_cell_length_b 16.308
_cell_length_c 8.172
_cell_angle_alpha 90.00
_cell_angle_beta 90.00
_cell_angle_gamma 90.00
_symmetry_space_group_name_H-M 'C m c m'
_symmetry_Int_Tables_number 63
_symmetry_space_group_name_Hall '-C 2c 2'
loop_
_atom_site_label
_atom_site_type_symbol
_atom_site_fract_x
_atom_site_fract_y
_atom_site_fract_z
K1 K 0.000 0.007 0.250
Na1 Na 0.000 0.370 0.022
I1 I 0.000 0.229 0.750
O1 O 0.000 0.500 0.000
```

Results
- magnetization (μB per cell) = 0.00
- E_tot (eV/atom) = -3.148
- E_form (uncorrected) (kJ/mol of atoms) = -106.0

=====

[5]
The following is a GGA-PBE calculation of a geometry-optimized TlAg2Sb structure, from Alexandria.

CIF file:
```
data_TlAg2Sb
_chemical_formula_sum 'Tl3 Ag6 Sb3'
_cell_length_a 4.2769
_cell_length_b 4.2769
_cell_length_c 19.2715
_cell_angle_alpha 90.00
_cell_angle_beta 90.00
_cell_angle_gamma 120.00
_symmetry_space_group_name_H-M 'R 3 m'
_symmetry_Int_Tables_number 160
_symmetry_space_group_name_Hall 'R 3 -2"'
loop_
_atom_site_label
_atom_site_type_symbol
_atom_site_fract_x
_atom_site_fract_y
_atom_site_fract_z
Tl1 Tl 0.0000 0.0000 0.0000
Ag1 Ag 0.0000 0.0000 0.5839
Ag2 Ag 0.0000 0.0000 0.7578
Sb1 Sb 0.0000 0.0000 0.1722
```

Results
- Fermi-level density of states (states/eV/f.u.) = 1.95
- magnetization (μB per cell) = 0.00
- E_tot (eV/atom) = -2.879
- E_form (uncorrected) (kJ/mol of atoms) = 16.3

=====

[6]
The following is a GGA-PBE calculation of a geometry-optimized Li2HoScSe4 structure, from Alexandria.

CIF file:
```
data_Li2HoScSe4
_chemical_formula_sum 'Li2 Ho1 Sc1 Se4'
_cell_length_a 6.845
_cell_length_b 3.964
_cell_length_c 6.861
_cell_angle_alpha 90.00
_cell_angle_beta 109.48
_cell_angle_gamma 90.00
_symmetry_space_group_name_H-M 'P 1 2/m 1'
_symmetry_Int_Tables_number 10
_symmetry_space_group_name_Hall '-P 2y'
loop_
_atom_site_label
_atom_site_type_symbol
_atom_site_fract_x
_atom_site_fract_y
_atom_site_fract_z
Li1 Li 0.000 0.000 0.000
Li2 Li 0.000 0.500 0.500
Ho1 Ho 0.500 0.000 0.500
Sc1 Sc 0.500 0.500 0.000
Se1 Se 0.250 0.500 0.240
Se2 Se 0.255 0.000 0.762
```

Results
- magnetization (μB per cell) = 0.00
- E_tot (eV/atom) = -5.224
- E_form (uncorrected) (kJ/mol of atoms) = -158.2

=====

[7]
The following is a GGA-PBE calculation of a geometry-optimized Al2ZnSe structure, from Alexandria.

CIF file:
```
data_Al2ZnSe
_chemical_formula_sum 'Al8 Zn4 Se4'
_cell_length_a 6.658
_cell_length_b 6.658
_cell_length_c 6.658
_cell_angle_alpha 90.00
_cell_angle_beta 90.00
_cell_angle_gamma 90.00
_symmetry_space_group_name_H-M 'F -4 3 m'
_symmetry_Int_Tables_number 216
_symmetry_space_group_name_Hall 'F -4 2 3'
loop_
_atom_site_label
_atom_site_type_symbol
_atom_site_fract_x
_atom_site_fract_y
_atom_site_fract_z
Al1 Al 0.000 0.000 0.000
Al2 Al 0.250 0.250 0.250
Zn1 Zn 0.250 0.250 0.750
Se1 Se 0.000 0.000 0.500
```

Results
- Fermi-level density of states (states/eV/f.u.) = 2.64
- magnetization (μB per cell) = 0.00
- E_tot (eV/atom) = -2.800
- E_form (uncorrected) (kJ/mol of atoms) = 25.2
- energy above the lowest structure with this stoichiometry (meV per atom) = 384

=====

[8]
The following is a GGA-PBE calculation of a geometry-optimized Pm2TaCd structure, from Alexandria.

CIF file:
```
data_Pm2TaCd
_chemical_formula_sum 'Pm6 Ta3 Cd3'
_cell_length_a 3.1936
_cell_length_b 3.1936
_cell_length_c 35.4240
_cell_angle_alpha 90.00
_cell_angle_beta 90.00
_cell_angle_gamma 120.00
_symmetry_space_group_name_H-M 'R -3 m'
_symmetry_Int_Tables_number 166
_symmetry_space_group_name_Hall '-R 3 2"'
loop_
_atom_site_label
_atom_site_type_symbol
_atom_site_fract_x
_atom_site_fract_y
_atom_site_fract_z
Pm1 Pm 0.0000 0.0000 0.0846
Ta1 Ta 0.0000 0.0000 0.0000
Cd1 Cd 0.0000 0.0000 0.5000
```

Results
- Fermi-level density of states (states/eV/f.u.) = 6.43
- magnetization (μB per cell) = 0.88
- energy relative to the elements (meV per atom) = 556.5
- E_tot (eV/atom) = -5.011

=====

[9]
The following is a GGA-PBE calculation of a geometry-optimized HoLuTe structure, from Alexandria.

CIF file:
```
data_HoLuTe
_chemical_formula_sum 'Ho2 Lu2 Te2'
_cell_length_a 3.814
_cell_length_b 3.814
_cell_length_c 11.423
_cell_angle_alpha 90.00
_cell_angle_beta 90.00
_cell_angle_gamma 90.00
_symmetry_space_group_name_H-M 'I 4 m m'
_symmetry_Int_Tables_number 107
_symmetry_space_group_name_Hall 'I 4 -2'
loop_
_atom_site_label
_atom_site_type_symbol
_atom_site_fract_x
_atom_site_fract_y
_atom_site_fract_z
Ho1 Ho 0.000 0.000 0.000
Lu1 Lu 0.000 0.000 0.315
Te1 Te 0.000 0.000 0.661
```

Results
- Fermi-level density of states (states/eV/f.u.) = 1.53
- magnetization (μB per cell) = 0.00
- E_tot (eV/atom) = -4.829
- E_form (uncorrected) (kJ/mol of atoms) = -72.3
- energy above the lowest structure with this stoichiometry (meV per atom) = 0

=====

[10]
The following is a GGA-PBE calculation of a geometry-optimized Li3CuTe4O12 structure, from Alexandria.

CIF file:
```
data_Li3CuTe4O12
_chemical_formula_sum 'Li3 Cu1 Te4 O12'
_cell_length_a 5.276
_cell_length_b 5.668
_cell_length_c 8.083
_cell_angle_alpha 82.81
_cell_angle_beta 88.96
_cell_angle_gamma 89.92
_symmetry_space_group_name_H-M 'P 1'
_symmetry_Int_Tables_number 1
_symmetry_space_group_name_Hall 'P 1'
loop_
_atom_site_label
_atom_site_type_symbol
_atom_site_fract_x
_atom_site_fract_y
_atom_site_fract_z
Li1 Li 0.000 0.000 0.000
Li2 Li 0.001 0.050 0.524
Li3 Li 0.474 0.519 0.504
Cu1 Cu 0.497 0.613 0.059
Te1 Te 0.497 0.099 0.313
Te2 Te 0.509 0.098 0.795
Te3 Te 0.969 0.569 0.786
Te4 Te 0.983 0.620 0.318
O1 O 0.119 0.629 0.558
O2 O 0.152 0.941 0.272
O3 O 0.189 0.264 0.841
O4 O 0.309 0.474 0.268
O5 O 0.325 0.805 0.878
O6 O 0.370 0.119 0.547
O7 O 0.648 0.146 0.003
O8 O 0.664 0.412 0.701
O9 O 0.686 0.796 0.406
O10 O 0.810 0.928 0.729
O11 O 0.818 0.320 0.390
O12 O 0.858 0.665 0.097
```

Results
- magnetization (μB per cell) = 0.09
- E_tot (eV/atom) = -5.257
- E_form (uncorrected) (kJ/mol of atoms) = -112.1